Entry 1:
Crystalline Y2TiAgO at its relaxed geometry. Source: Alexandria, functional PBE.

Cell: 4.947 4.947 4.006 Å, 90.00 90.00 90.00°
Positions (direct):
Y 0.000 0.500 0.000
Y 0.500 0.000 0.000
Ti 0.000 0.000 0.500
Ag 0.500 0.500 0.500
O 0.000 0.000 0.000

Space group: No. 123
Final energy in eV per cell: -34.5
Raw formation energy in kJ/mol of atoms: -113.5
Volume in Å³/atom: 19.6
ρ in Mg/m³: 5.921

---

Entry 2:
Crystalline YTiAgO2 at its relaxed geometry. Source: Alexandria, functional PBE.

Cell: 4.222 4.222 7.163 Å, 90.00 90.00 90.00°
Positions (direct):
Y 0.000 0.000 0.000
Ti 0.000 0.000 0.500
Ag 0.500 0.500 0.500
O 0.000 0.500 0.000
O 0.500 0.000 0.000

Space group: No. 123
Final energy in eV per cell: -29.1
Raw formation energy in kJ/mol of atoms: -38.7
Volume in Å³/atom: 25.5
ρ in Mg/m³: 3.598

---

Entry 3:
Crystalline YTi2AgO at its relaxed geometry. Source: Alexandria, functional PBE.

Cell: 4.199 4.199 4.743 Å, 90.00 90.00 90.00°
Positions (direct):
Y 0.000 0.000 0.000
Ti 0.000 0.500 0.500
Ti 0.500 0.000 0.500
Ag 0.500 0.500 0.000
O 0.000 0.000 0.500

Space group: No. 123
Final energy in eV per cell: -35.3
Raw formation energy in kJ/mol of atoms: -100.8
Volume in Å³/atom: 16.7
ρ in Mg/m³: 6.125

---

Entry 4:
Crystalline TlAg2O4 at its relaxed geometry. Source: Alexandria, functional PBE.

Cell: 6.237 6.237 6.237 Å, 107.57 107.57 113.33°
Positions (direct):
Tl 0.000 0.000 0.000
Tl 0.750 0.250 0.500
Ag 0.201 0.125 0.576
Ag 0.375 0.799 0.924
Ag 0.549 0.625 0.424
Ag 0.875 0.451 0.076
O 0.047 0.789 0.671
O 0.118 0.376 0.329
O 0.126 0.368 0.829
O 0.211 0.882 0.258
O 0.539 0.297 0.171
O 0.624 0.953 0.742
O 0.632 0.461 0.758
O 0.703 0.874 0.242

Space group: No. 122
Final energy in eV per cell: -56.7
Raw formation energy in kJ/mol of atoms: -6.4
Volume in Å³/atom: 13.3
ρ in Mg/m³: 8.639

---

Entry 5:
Crystalline Tl3AgO at its relaxed geometry. Source: Alexandria, functional PBE.

Cell: 5.457 5.457 5.457 Å, 90.00 90.00 90.00°
Positions (direct):
Tl 0.000 0.000 0.500
Tl 0.000 0.500 0.000
Tl 0.500 0.000 0.000
Ag 0.000 0.000 0.000
O 0.500 0.500 0.500

Space group: No. 221
Final energy in eV per cell: -12.5
Raw formation energy in kJ/mol of atoms: 46.4
Volume in Å³/atom: 32.5
ρ in Mg/m³: 7.531

---

Entry 6:
Crystalline Tl2AgO4 at its relaxed geometry. Source: Alexandria, functional PBE.

Cell: 6.907 6.907 6.907 Å, 123.53 122.12 85.18°
Positions (direct):
Tl 0.000 0.000 0.000
Tl 0.393 0.643 0.750
Tl 0.500 0.000 0.500
Tl 0.607 0.357 0.250
Ag 0.000 0.000 0.500
Ag 0.000 0.500 0.000
O 0.201 0.237 0.964
O 0.227 0.763 0.464
O 0.261 0.244 0.483
O 0.261 0.778 0.017
O 0.739 0.222 0.983
O 0.739 0.756 0.517
O 0.773 0.237 0.536
O 0.799 0.763 0.036

Space group: No. 74
Final energy in eV per cell: -60.8
Raw formation energy in kJ/mol of atoms: -41.1
Volume in Å³/atom: 15.9
ρ in Mg/m³: 8.681

---

Entry 7:
Crystalline TlAgO3 at its relaxed geometry. Source: Alexandria, functional PBE.

Cell: 4.215 4.215 4.215 Å, 90.00 90.00 90.00°
Positions (direct):
Tl 0.000 0.000 0.000
Ag 0.500 0.500 0.500
O 0.000 0.000 0.500
O 0.000 0.500 0.000
O 0.500 0.000 0.000

Space group: No. 221
Final energy in eV per cell: -18.3
Raw formation energy in kJ/mol of atoms: 35.0
Volume in Å³/atom: 15.0
ρ in Mg/m³: 7.990

---

Entry 8:
Crystalline TlAgO2 at its relaxed geometry. Source: Alexandria, functional PBE.

Cell: 4.219 4.219 4.219 Å, 60.00 60.00 60.00°
Positions (direct):
Tl 0.000 0.000 0.000
Ag 0.500 0.500 0.500
O 0.250 0.250 0.250
O 0.750 0.750 0.750

Space group: No. 225
Final energy in eV per cell: -15.3
Raw formation energy in kJ/mol of atoms: -3.5
Volume in Å³/atom: 13.3
ρ in Mg/m³: 10.762

---

Entry 9:
Crystalline TlAg5O4 at its relaxed geometry. Source: Alexandria, functional PBE.

Cell: 6.914 8.620 5.507 Å, 90.00 90.00 90.00°
Positions (direct):
Tl 0.250 0.250 0.204
Tl 0.750 0.750 0.796
Ag 0.031 0.085 0.721
Ag 0.031 0.415 0.721
Ag 0.250 0.750 0.924
Ag 0.469 0.085 0.721
Ag 0.469 0.415 0.721
Ag 0.531 0.585 0.279
Ag 0.531 0.915 0.279
Ag 0.750 0.250 0.076
Ag 0.969 0.585 0.279
Ag 0.969 0.915 0.279
O 0.021 0.750 0.588
O 0.250 0.013 0.018
O 0.250 0.487 0.018
O 0.479 0.750 0.588
O 0.521 0.250 0.412
O 0.750 0.513 0.982
O 0.750 0.987 0.982
O 0.979 0.250 0.412

Space group: No. 59
Final energy in eV per cell: -74.6
Raw formation energy in kJ/mol of atoms: -7.9
Volume in Å³/atom: 16.4
ρ in Mg/m³: 8.174

---

Entry 10:
Crystalline Tl2AgO3 at its relaxed geometry. Source: Alexandria, functional PBE.

Cell: 3.506 3.506 17.457 Å, 90.00 90.00 120.00°
Positions (direct):
Tl 0.333 0.667 0.087
Tl 0.333 0.667 0.413
Tl 0.667 0.333 0.587
Tl 0.667 0.333 0.913
Ag 0.000 0.000 0.250
Ag 0.000 0.000 0.750
O 0.000 0.000 0.000
O 0.000 0.000 0.500
O 0.333 0.667 0.655
O 0.333 0.667 0.845
O 0.667 0.333 0.155
O 0.667 0.333 0.345

Space group: No. 194
Final energy in eV per cell: -49.5
Raw formation energy in kJ/mol of atoms: -37.2
Volume in Å³/atom: 15.5
ρ in Mg/m³: 10.091

---

Entry 11:
Crystalline TlAg3O3 at its relaxed geometry. Source: Alexandria, functional PBE.

Cell: 7.805 7.805 7.805 Å, 46.29 46.29 46.29°
Positions (direct):
Tl 0.169 0.169 0.169
Tl 0.831 0.831 0.831
Ag 0.126 0.658 0.359
Ag 0.342 0.641 0.874
Ag 0.359 0.126 0.658
Ag 0.641 0.874 0.342
Ag 0.658 0.359 0.126
Ag 0.874 0.342 0.641
O 0.033 0.429 0.835
O 0.165 0.967 0.571
O 0.429 0.835 0.033
O 0.571 0.165 0.967
O 0.835 0.033 0.429
O 0.967 0.571 0.165

Space group: No. 148
Final energy in eV per cell: -53.8
Raw formation energy in kJ/mol of atoms: -15.0
Volume in Å³/atom: 16.2
ρ in Mg/m³: 8.434

---

Entry 12:
Crystalline Tl3AgO at its relaxed geometry. Source: Alexandria, functional PBE.

Cell: 5.083 5.083 5.083 Å, 90.00 90.00 90.00°
Positions (direct):
Tl 0.000 0.000 0.500
Tl 0.000 0.500 0.000
Tl 0.500 0.000 0.000
Ag 0.500 0.500 0.500
O 0.000 0.000 0.000

Space group: No. 221
Final energy in eV per cell: -15.0
Raw formation energy in kJ/mol of atoms: -1.3
Volume in Å³/atom: 26.3
ρ in Mg/m³: 9.319

---

Entry 13:
Crystalline Tl4AgO6 at its relaxed geometry. Source: Alexandria, functional PBE.

Cell: 6.272 6.272 10.629 Å, 108.62 108.62 71.01°
Positions (direct):
Tl 0.008 0.356 0.341
Tl 0.088 0.912 0.500
Tl 0.104 0.524 0.696
Tl 0.258 0.619 0.113
Tl 0.356 0.008 0.841
Tl 0.524 0.104 0.196
Tl 0.619 0.258 0.613
Tl 0.912 0.088 0.000
Ag 0.536 0.639 0.439
Ag 0.639 0.536 0.939
O 0.009 0.207 0.701
O 0.154 0.750 0.908
O 0.189 0.603 0.317
O 0.207 0.009 0.201
O 0.209 0.260 0.019
O 0.260 0.209 0.519
O 0.369 0.689 0.667
O 0.603 0.189 0.817
O 0.675 0.883 0.018
O 0.689 0.369 0.167
O 0.750 0.154 0.408
O 0.883 0.675 0.518

Space group: No. 9
Final energy in eV per cell: -94.8
Raw formation energy in kJ/mol of atoms: -46.8
Volume in Å³/atom: 16.5
ρ in Mg/m³: 9.328

---

Entry 14:
Crystalline TlAgO3 at its relaxed geometry. Source: Alexandria, functional PBE.

Cell: 4.045 4.045 4.045 Å, 90.00 90.00 90.00°
Positions (direct):
Tl 0.000 0.000 0.000
Ag 0.500 0.500 0.500
O 0.000 0.500 0.500
O 0.500 0.000 0.500
O 0.500 0.500 0.000

Space group: No. 221
Final energy in eV per cell: -19.4
Raw formation energy in kJ/mol of atoms: 13.6
Volume in Å³/atom: 13.2
ρ in Mg/m³: 9.035

---

Entry 15:
Crystalline TlAgO2 at its relaxed geometry. Source: Alexandria, functional PBE.

Cell: 6.280 6.280 6.280 Å, 129.11 129.11 74.83°
Positions (direct):
Tl 0.000 0.000 0.000
Tl 0.750 0.250 0.500
Ag 0.250 0.750 0.500
Ag 0.500 0.500 0.000
O 0.102 0.625 0.977
O 0.375 0.352 0.477
O 0.648 0.125 0.023
O 0.875 0.898 0.523

Space group: No. 122
Final energy in eV per cell: -33.0
Raw formation energy in kJ/mol of atoms: -32.7
Volume in Å³/atom: 18.2
ρ in Mg/m³: 7.870

---

Entry 16:
Crystalline Tl12Ag3O5 at its relaxed geometry. Source: Alexandria, functional PBE.

Cell: 13.987 13.987 13.987 Å, 109.47 109.47 109.47°
Positions (direct):
Tl 0.031 0.210 0.125
Tl 0.031 0.321 0.906
Tl 0.085 0.710 0.679
Tl 0.085 0.875 0.406
Tl 0.094 0.625 0.415
Tl 0.094 0.969 0.679
Tl 0.125 0.031 0.210
Tl 0.125 0.594 0.915
Tl 0.179 0.210 0.585
Tl 0.179 0.469 0.594
Tl 0.210 0.125 0.031
Tl 0.210 0.585 0.179
Tl 0.290 0.321 0.915
Tl 0.290 0.469 0.375
Tl 0.321 0.906 0.031
Tl 0.321 0.915 0.290
Tl 0.375 0.290 0.469
Tl 0.375 0.585 0.906
Tl 0.406 0.085 0.875
Tl 0.406 0.821 0.531
Tl 0.415 0.094 0.625
Tl 0.415 0.821 0.790
Tl 0.469 0.375 0.290
Tl 0.469 0.594 0.179
Tl 0.531 0.406 0.821
Tl 0.531 0.625 0.710
Tl 0.585 0.179 0.210
Tl 0.585 0.906 0.375
Tl 0.594 0.179 0.469
Tl 0.594 0.915 0.125
Tl 0.625 0.415 0.094
Tl 0.625 0.710 0.531
Tl 0.679 0.085 0.710
Tl 0.679 0.094 0.969
Tl 0.710 0.531 0.625
Tl 0.710 0.679 0.085
Tl 0.790 0.415 0.821
Tl 0.790 0.875 0.969
Tl 0.821 0.531 0.406
Tl 0.821 0.790 0.415
Tl 0.875 0.406 0.085
Tl 0.875 0.969 0.790
Tl 0.906 0.031 0.321
Tl 0.906 0.375 0.585
Tl 0.915 0.125 0.594
Tl 0.915 0.290 0.321
Tl 0.969 0.679 0.094
Tl 0.969 0.790 0.875
Ag 0.125 0.250 0.375
Ag 0.125 0.375 0.750
Ag 0.250 0.375 0.125
Ag 0.250 0.875 0.625
Ag 0.375 0.125 0.250
Ag 0.375 0.750 0.125
Ag 0.625 0.250 0.875
Ag 0.625 0.875 0.750
Ag 0.750 0.125 0.375
Ag 0.750 0.625 0.875
Ag 0.875 0.625 0.250
Ag 0.875 0.750 0.625
O 0.000 0.000 0.000
O 0.000 0.000 0.500
O 0.000 0.500 0.000
O 0.000 0.500 0.500
O 0.125 0.750 0.875
O 0.125 0.875 0.250
O 0.250 0.125 0.875
O 0.250 0.625 0.375
O 0.375 0.250 0.625
O 0.375 0.625 0.750
O 0.500 0.000 0.000
O 0.500 0.000 0.500
O 0.500 0.500 0.000
O 0.500 0.500 0.500
O 0.625 0.375 0.250
O 0.625 0.750 0.375
O 0.750 0.375 0.625
O 0.750 0.875 0.125
O 0.875 0.125 0.750
O 0.875 0.250 0.125

Space group: No. 230
Final energy in eV per cell: -266.0
Raw formation energy in kJ/mol of atoms: -23.0
Volume in Å³/atom: 26.3
ρ in Mg/m³: 9.007

---

Entry 17:
Crystalline Tl2AgO3 at its relaxed geometry. Source: Alexandria, functional PBE.

Cell: 6.674 6.674 8.926 Å, 90.00 90.00 149.11°
Positions (direct):
Tl 0.000 0.000 0.000
Tl 0.000 0.000 0.500
Tl 0.330 0.670 0.750
Tl 0.670 0.330 0.250
Ag 0.354 0.646 0.250
Ag 0.646 0.354 0.750
O 0.050 0.950 0.250
O 0.382 0.618 0.015
O 0.382 0.618 0.485
O 0.618 0.382 0.515
O 0.618 0.382 0.985
O 0.950 0.050 0.750

Space group: No. 63
Final energy in eV per cell: -50.1
Raw formation energy in kJ/mol of atoms: -41.5
Volume in Å³/atom: 17.0
ρ in Mg/m³: 9.185

---

Entry 18:
Crystalline TlAg3O4 at its relaxed geometry. Source: Alexandria, functional PBE.

Cell: 6.269 6.269 3.268 Å, 90.00 90.00 118.16°
Positions (direct):
Tl 0.000 0.000 0.000
Ag 0.000 0.500 0.500
Ag 0.500 0.000 0.500
Ag 0.500 0.500 0.000
O 0.218 0.782 0.000
O 0.256 0.256 0.500
O 0.744 0.744 0.500
O 0.782 0.218 0.000

Space group: No. 65
Final energy in eV per cell: -32.0
Raw formation energy in kJ/mol of atoms: -15.1
Volume in Å³/atom: 14.2
ρ in Mg/m³: 8.681

---

Entry 19:
Crystalline TlAg3O4 at its relaxed geometry. Source: Alexandria, functional PBE.

Cell: 6.147 6.147 6.147 Å, 90.00 90.00 90.00°
Positions (direct):
Tl 0.000 0.000 0.000
Tl 0.500 0.500 0.500
Ag 0.000 0.250 0.500
Ag 0.000 0.750 0.500
Ag 0.250 0.500 0.000
Ag 0.500 0.000 0.250
Ag 0.500 0.000 0.750
Ag 0.750 0.500 0.000
O 0.250 0.250 0.250
O 0.250 0.250 0.750
O 0.250 0.750 0.250
O 0.250 0.750 0.750
O 0.750 0.250 0.250
O 0.750 0.250 0.750
O 0.750 0.750 0.250
O 0.750 0.750 0.750

Space group: No. 223
Final energy in eV per cell: -64.3
Raw formation energy in kJ/mol of atoms: -16.6
Volume in Å³/atom: 14.5
ρ in Mg/m³: 8.462